This record from Alexandria describes a relaxed Er3Re5C12 crystal. The functional is PBE-GGA. Values from VASP.

Results
For the total magnetic moment, the calculation gives 0.01 Bohr magnetons per cell. The calculation puts the formation energy at 0.83 eV/atom. The value obtained for the total DFT energy (no corrections) is -8.503 eV per atom. The space group is Ia-3d.

Structure (Quantum ESPRESSO input):
```
&SYSTEM
  ibrav = 0, nat = 80, ntyp = 3
/
ATOMIC_SPECIES
Er 167.26 Er.upf
Re 186.21 Re.upf
C 12.01 C.upf
ATOMIC_POSITIONS angstrom
Er 3.254 1.627 0.000
Er 6.507 3.254 -1.627
Er 1.627 0.000 3.254
Er 8.134 0.000 3.254
Er 0.000 3.254 1.627
Er 3.254 -1.627 6.507
Er 3.254 8.134 0.000
Er 6.507 3.254 4.880
Er -1.627 6.507 3.254
Er 4.880 6.507 3.254
Er 0.000 3.254 8.134
Er 3.254 4.880 6.507
Re 0.000 0.000 0.000
Re 3.254 3.254 -3.254
Re 3.254 -3.254 3.254
Re 6.507 0.000 0.000
Re 9.761 1.627 0.000
Re 6.507 -3.254 4.880
Re 4.880 6.507 -3.254
Re 4.880 0.000 3.254
Re 3.254 4.880 0.000
Re 6.507 3.254 1.627
Re -3.254 3.254 3.254
Re 0.000 6.507 0.000
Re 0.000 0.000 6.507
Re 3.254 3.254 3.254
Re 0.000 3.254 4.880
Re 3.254 1.627 6.507
Re 1.627 6.507 3.254
Re 1.627 0.000 9.761
Re 0.000 9.761 1.627
Re -3.254 4.880 6.507
C 1.913 -0.448 0.654
C 7.847 3.908 -3.702
C 8.420 0.448 0.654
C 7.847 -2.599 3.702
C 6.059 -0.654 1.913
C 10.209 -1.340 2.599
C 0.654 1.913 -0.448
C 9.106 2.805 -1.340
C 3.908 3.702 -1.340
C 5.853 1.913 0.448
C -0.448 0.654 1.913
C 3.702 -1.340 3.908
C 6.059 5.853 -1.913
C 3.702 1.340 2.599
C 3.908 -3.702 7.847
C 5.853 -1.913 6.059
C 2.599 3.702 1.340
C 7.162 4.594 0.448
C 3.702 7.847 -2.599
C 6.059 0.654 4.594
C 1.913 6.059 -0.654
C 7.847 2.599 2.805
C 1.340 2.599 3.702
C 1.913 0.448 5.853
C 4.594 6.059 0.654
C 5.167 3.908 2.805
C -1.340 3.908 3.702
C 4.594 0.448 7.162
C 0.448 5.853 1.913
C 2.805 -1.340 9.106
C -0.654 1.913 6.059
C 3.908 2.805 5.167
C 0.654 8.420 0.448
C 2.599 10.209 -1.340
C 2.805 5.167 3.908
C 0.448 0.654 8.420
C 2.805 7.847 2.599
C 6.955 5.853 4.594
C 0.654 4.594 6.059
C 2.599 2.805 7.847
C -2.599 3.702 7.847
C 5.853 4.594 6.955
C -3.702 7.847 3.908
C 0.448 7.162 4.594
C -1.340 9.106 2.805
C -1.913 6.059 5.853
C -1.340 2.599 10.209
C 4.594 6.955 5.853
CELL_PARAMETERS angstrom
-6.507 6.507 6.507
6.507 -6.507 6.507
6.507 6.507 -6.507
```